Sm5DyTe6: optimized geometry, PBE.

Lattice parameters (Å, degrees): 7.6528 7.6693 7.6882 60.08 80.37 70.41
Last column: nearest neighbours and their distance in Å.
Fractional coordinates of all 12 atoms:
Sm 0.5000 0.1724 0.6551  6 Te 3.13-3.17
Sm 0.0000 0.3323 0.3353  6 Te 3.13-3.16
Sm 0.5000 0.5000 0.0000  6 Te 3.13-3.17
Sm 0.0000 0.6677 0.6647  6 Te 3.13-3.16
Sm 0.5000 0.8276 0.3449  6 Te 3.13-3.17
Dy 0.0000 0.0000 0.0000  6 Te 3.08-3.09
Te 0.7539 0.0824 0.3268  1 Dy 3.08, 5 Sm 3.13
Te 0.2461 0.5909 0.3268  1 Dy 3.08, 5 Sm 3.13
Te 0.2504 0.2440 0.0000  1 Dy 3.09, 5 Sm 3.16-3.17
Te 0.7496 0.7560 0.0000  1 Dy 3.09, 5 Sm 3.16-3.17
Te 0.7539 0.4091 0.6732  1 Dy 3.08, 5 Sm 3.13
Te 0.2461 0.9176 0.6732  1 Dy 3.08, 5 Sm 3.13

- formation energy (no corrections) (meV per atom) = -1368
- crystal system = monoclinic


Th4Zn2Cd: optimized geometry, PBE.

Lattice parameters (Å, degrees): 5.0663 5.0663 9.6151 74.72 74.72 60.00
Last column: nearest neighbours and their distance in Å.
Fractional coordinates of all 7 atoms:
Th 0.7055 0.7055 0.8834  4 Zn 3.00-3.05
Th 0.8826 0.8826 0.3522  3 Zn 3.20, 3 Cd 3.22
Th 0.2945 0.2945 0.1166  4 Zn 3.00-3.05
Th 0.1174 0.1174 0.6478  3 Zn 3.20, 3 Cd 3.22
Zn 0.5963 0.5963 0.2111  1 Cd 2.65
Zn 0.4037 0.4037 0.7889  1 Cd 2.65
Cd 0.5000 0.5000 0.5000  2 Zn 2.65

- energy of formation from the pure elements (meV/atom) = 156
- crystal system = trigonal


Nb2GaIrOs: optimized geometry, PBE.

Lattice parameters (Å, degrees): 4.8430 4.7369 4.8430 90.00 90.00 90.00
Last column: nearest neighbours and their distance in Å.
Fractional coordinates of all 5 atoms:
Nb 0.0000 0.0000 0.5000  2 Ir 2.42
Nb 0.5000 0.0000 0.0000  2 Ir 2.42
Ir 0.0000 0.0000 0.0000  2 Os 2.37, 4 Nb 2.42
Os 0.0000 0.5000 0.0000  2 Ir 2.37
Ga 0.5000 0.5000 0.5000  8 Nb 3.39, 4 Os 3.42

- energy of formation from the pure elements (meV/atom) = 1231
- crystal system = tetragonal


CsAsPb: optimized geometry, PBE.

Lattice parameters (Å, degrees): 4.4461 4.4461 7.3357 72.38 72.38 60.02
Last column: nearest neighbours and their distance in Å.
Fractional coordinates of all 3 atoms:
Cs 0.5928 0.5928 0.3720  3 As 3.51
As 0.3751 0.3751 0.0238  3 Pb 2.89
Pb 0.1057 0.1057 0.8313  3 As 2.89

- energy of formation from the pure elements (meV/atom) = -341
- crystal system = trigonal


CeMg14Fe: optimized geometry, PBE.

Lattice parameters (Å, degrees): 6.4342 6.4342 10.1891 90.00 90.00 120.00
Last column: nearest neighbours and their distance in Å.
Fractional coordinates of all 16 atoms:
Ce 0.6667 0.3333 0.5000  12 Mg 3.22-3.27
Mg 0.6585 0.8292 0.0000  10 Mg 3.04-3.30, 2 Fe 3.22
Mg 0.6830 0.8415 0.5000  10 Mg 3.06-3.37, 2 Ce 3.22
Mg 0.1708 0.3415 0.0000  10 Mg 3.04-3.30, 2 Fe 3.22
Mg 0.1585 0.3170 0.5000  10 Mg 3.06-3.37, 2 Ce 3.22
Mg 0.1708 0.8292 0.0000  10 Mg 3.04-3.30, 2 Fe 3.22
Mg 0.1585 0.8415 0.5000  10 Mg 3.06-3.37, 2 Ce 3.22
Mg 0.8287 0.1713 0.2321  1 Fe 2.98, 10 Mg 3.04-3.31, 1 Ce 3.27
Mg 0.8287 0.1713 0.7679  1 Fe 2.98, 10 Mg 3.04-3.31, 1 Ce 3.27
Mg 0.8287 0.6574 0.2321  1 Fe 2.98, 10 Mg 3.04-3.31, 1 Ce 3.27
Mg 0.8287 0.6574 0.7679  1 Fe 2.98, 10 Mg 3.04-3.31, 1 Ce 3.27
Mg 0.3426 0.1713 0.2321  1 Fe 2.98, 10 Mg 3.04-3.31, 1 Ce 3.27
Mg 0.3426 0.1713 0.7679  1 Fe 2.98, 10 Mg 3.04-3.31, 1 Ce 3.27
Mg 0.3333 0.6667 0.2640  12 Mg 3.09-3.24
Mg 0.3333 0.6667 0.7360  12 Mg 3.09-3.24
Fe 0.6667 0.3333 0.0000  12 Mg 2.98-3.22

- E above lowest polymorph (eV per formula unit) = 0.49
- energy of formation from the pure elements (meV/atom) = 119
- crystal system = hexagonal


CsHg2Pb2: optimized geometry, PBE.

Lattice parameters (Å, degrees): 5.1010 5.1010 7.6730 70.59 70.59 90.00
Last column: nearest neighbours and their distance in Å.
Fractional coordinates of all 5 atoms:
Pb 0.7500 0.2500 0.5000  4 Hg 3.18
Pb 0.2500 0.7500 0.5000  4 Hg 3.18
Cs 0.0000 0.0000 0.0000  8 Hg 3.90, 8 Pb 4.24
Hg 0.3907 0.3907 0.2186  1 Hg 2.96, 4 Pb 3.18
Hg 0.6093 0.6093 0.7814  1 Hg 2.96, 4 Pb 3.18

- E above lowest polymorph (eV per formula unit) = 0.00
- energy of formation from the pure elements (meV/atom) = -147
- crystal system = tetragonal


Result set for calculated total energy: -63.46; -32.05; -37.10; -10.24; -34.81; -9.61 eV for the cell shown, one per record in the order listed.
Result set for total magnetization: 0.000; 0.000; 0.000; 0.000; 4.460; 0.000 μB/cell, one per record in the order listed.